1.
Compound: InSb2Mo
Source: Alexandria via LeMat-Bulk
Functional: GGA-PBE
Structure: optimized geometry

The structure in CIF format:
```
data_InSb2Mo
_space_group_name_H-M_alt 'P m m m'
_space_group_IT_number 47
_space_group_name_Hall '-P 2 2'
_cell_length_a 3.655
_cell_length_b 4.876
_cell_length_c 5.050
_cell_angle_alpha 90.00
_cell_angle_beta 90.00
_cell_angle_gamma 90.00
loop_
_atom_site_label
_atom_site_fract_x
_atom_site_fract_y
_atom_site_fract_z
In1 0.000 0.000 0.000
Sb1 0.000 0.500 0.500
Sb2 0.500 0.500 0.000
Mo1 0.500 0.000 0.500
```

Properties
E_tot	-4.852	eV/atom
magnetic moment	1.05	μB/cell
formation energy without anion corrections	0.60	eV/atom
density	8.38	Mg/m³

2.
Compound: InSbMo3
Source: Alexandria via LeMat-Bulk
Functional: GGA-PBE
Structure: optimized geometry

The structure in CIF format:
```
data_InSbMo3
_space_group_name_H-M_alt 'P m -3 m'
_space_group_IT_number 221
_space_group_name_Hall '-P 4 2 3'
_cell_length_a 4.906
_cell_length_b 4.906
_cell_length_c 4.906
_cell_angle_alpha 90.00
_cell_angle_beta 90.00
_cell_angle_gamma 90.00
loop_
_atom_site_label
_atom_site_fract_x
_atom_site_fract_y
_atom_site_fract_z
In1 0.000 0.000 0.000
Sb1 0.500 0.500 0.500
Mo1 0.000 0.500 0.500
```

Properties
E_tot	-6.125	eV/atom
magnetic moment	0.00	μB/cell
formation energy without anion corrections	1.75	eV/atom
excess energy over the best structure of this formula in the dataset	0.0	meV/atom
density	7.38	Mg/m³

3.
Compound: InSbMo2
Source: Alexandria via LeMat-Bulk
Functional: GGA-PBE
Structure: optimized geometry

The structure in CIF format:
```
data_InSbMo2
_space_group_name_H-M_alt 'R -3 m'
_space_group_IT_number 166
_space_group_name_Hall '-R 3 2"'
_cell_length_a 3.1323
_cell_length_b 3.1323
_cell_length_c 26.6204
_cell_angle_alpha 90.00
_cell_angle_beta 90.00
_cell_angle_gamma 120.00
loop_
_atom_site_label
_atom_site_fract_x
_atom_site_fract_y
_atom_site_fract_z
In1 0.0000 0.0000 0.0000
Sb1 0.0000 0.0000 0.5000
Mo1 0.0000 0.0000 0.2465
```

Properties
E_tot	-6.687	eV/atom
magnetic moment	0.00	μB/cell
formation energy without anion corrections	0.44	eV/atom
excess energy over the best structure of this formula in the dataset	297.4	meV/atom
density	9.44	Mg/m³

4.
Compound: InSbMo2
Source: Alexandria via LeMat-Bulk
Functional: GGA-PBE
Structure: optimized geometry

The structure in CIF format:
```
data_InSbMo2
_space_group_name_H-M_alt 'P m m m'
_space_group_IT_number 47
_space_group_name_Hall '-P 2 2'
_cell_length_a 3.450
_cell_length_b 4.467
_cell_length_c 4.906
_cell_angle_alpha 90.00
_cell_angle_beta 90.00
_cell_angle_gamma 90.00
loop_
_atom_site_label
_atom_site_fract_x
_atom_site_fract_y
_atom_site_fract_z
In1 0.000 0.000 0.000
Sb1 0.500 0.000 0.500
Mo1 0.000 0.500 0.500
Mo2 0.500 0.500 0.000
```

Properties
E_tot	-6.573	eV/atom
magnetic moment	0.01	μB/cell
formation energy without anion corrections	0.56	eV/atom
excess energy over the best structure of this formula in the dataset	412.2	meV/atom
density	9.41	Mg/m³

5.
Compound: InSbMo2
Source: Alexandria via LeMat-Bulk
Functional: GGA-PBE
Structure: optimized geometry

The structure in CIF format:
```
data_InSbMo2
_space_group_name_H-M_alt 'A m m 2'
_space_group_IT_number 38
_space_group_name_Hall 'A 2 -2'
_cell_length_a 4.426
_cell_length_b 3.422
_cell_length_c 10.421
_cell_angle_alpha 90.00
_cell_angle_beta 90.00
_cell_angle_gamma 90.00
loop_
_atom_site_label
_atom_site_fract_x
_atom_site_fract_y
_atom_site_fract_z
In1 0.000 0.000 0.000
Sb1 0.500 0.000 0.311
Mo1 0.000 0.000 0.724
Mo2 0.500 0.000 0.592
```

Properties
E_tot	-6.822	eV/atom
magnetic moment	0.00	μB/cell
formation energy without anion corrections	0.31	eV/atom
excess energy over the best structure of this formula in the dataset	163.2	meV/atom
density	9.02	Mg/m³

6.
Compound: InSb2Mo
Source: Alexandria via LeMat-Bulk
Functional: GGA-PBE
Structure: optimized geometry

The structure in CIF format:
```
data_InSb2Mo
_space_group_name_H-M_alt 'I -4 2 d'
_space_group_IT_number 122
_space_group_name_Hall 'I -4 2bw'
_cell_length_a 6.459
_cell_length_b 6.459
_cell_length_c 12.857
_cell_angle_alpha 90.00
_cell_angle_beta 90.00
_cell_angle_gamma 90.00
loop_
_atom_site_label
_atom_site_fract_x
_atom_site_fract_y
_atom_site_fract_z
In1 0.000 0.000 0.000
Sb1 0.208 0.250 0.625
Mo1 0.000 0.000 0.500
```

Properties
E_tot	-4.924	eV/atom
magnetic moment	5.26	μB/cell
formation energy without anion corrections	0.53	eV/atom
density	5.63	Mg/m³

7.
Compound: InSb2Mo
Source: Alexandria via LeMat-Bulk
Functional: GGA-PBE
Structure: optimized geometry

The structure in CIF format:
```
data_InSb2Mo
_space_group_name_H-M_alt 'I m m 2'
_space_group_IT_number 44
_space_group_name_Hall 'I 2 -2'
_cell_length_a 3.369
_cell_length_b 3.549
_cell_length_c 17.316
_cell_angle_alpha 90.00
_cell_angle_beta 90.00
_cell_angle_gamma 90.00
loop_
_atom_site_label
_atom_site_fract_x
_atom_site_fract_y
_atom_site_fract_z
In1 0.000 0.000 0.000
Sb1 0.000 0.000 0.356
Sb2 0.000 0.500 0.158
Mo1 0.000 0.500 0.734
```

Properties
E_tot	-5.210	eV/atom
magnetic moment	0.00	μB/cell
formation energy without anion corrections	0.24	eV/atom
density	7.29	Mg/m³

8.
Compound: InSbTe2Mo
Source: Alexandria via LeMat-Bulk
Functional: GGA-PBE
Structure: optimized geometry

The structure in CIF format:
```
data_InSbTe2Mo
_space_group_name_H-M_alt 'P 4/m m m'
_space_group_IT_number 123
_space_group_name_Hall '-P 4 2'
_cell_length_a 5.404
_cell_length_b 5.404
_cell_length_c 5.268
_cell_angle_alpha 90.00
_cell_angle_beta 90.00
_cell_angle_gamma 90.00
loop_
_atom_site_label
_atom_site_fract_x
_atom_site_fract_y
_atom_site_fract_z
In1 0.000 0.000 0.000
Sb1 0.500 0.500 0.000
Te1 0.000 0.500 0.500
Mo1 0.500 0.500 0.500
```

Properties
E_tot	-4.448	eV/atom
magnetic moment	0.00	μB/cell
formation energy without anion corrections	0.35	eV/atom
excess energy over the best structure of this formula in the dataset	0.0	meV/atom
density	6.34	Mg/m³